La2TbPr12 | PBE | optimized geometry

Summary:
Density of states at the Fermi level in states/eV/atom: 1.440
Calculated total energy in hartree per atom: -0.1653
Space-group type: P4/nbm, No. 125

Unit cell a=6.693 b=6.693 c=25.739 alpha=90.00 beta=90.00 gamma=90.00
Positions (direct):
La (0.250, 0.750, 0.236)
La (0.250, 0.750, 0.764)
La (0.750, 0.250, 0.236)
La (0.750, 0.250, 0.764)
Tb (0.250, 0.750, 0.500)
Tb (0.750, 0.250, 0.500)
Pr (0.062, 0.562, 0.388)
Pr (0.062, 0.938, 0.612)
Pr (0.082, 0.582, 0.938)
Pr (0.082, 0.918, 0.062)
Pr (0.250, 0.250, 0.163)
Pr (0.250, 0.250, 0.286)
Pr (0.250, 0.250, 0.714)
Pr (0.250, 0.250, 0.837)
Pr (0.418, 0.582, 0.062)
Pr (0.418, 0.918, 0.938)
Pr (0.438, 0.562, 0.612)
Pr (0.438, 0.938, 0.388)
Pr (0.562, 0.062, 0.612)
Pr (0.562, 0.438, 0.388)
Pr (0.582, 0.082, 0.062)
Pr (0.582, 0.418, 0.938)
Pr (0.750, 0.750, 0.163)
Pr (0.750, 0.750, 0.286)
Pr (0.750, 0.750, 0.714)
Pr (0.750, 0.750, 0.837)
Pr (0.918, 0.082, 0.938)
Pr (0.918, 0.418, 0.062)
Pr (0.938, 0.062, 0.388)
Pr (0.938, 0.438, 0.612)